Record 1
The following is a PBE calculation of an optimized crystal structure of Y2TlTc, from the Alexandria database.

For the calculated density, the calculation gives 8.83 g/cm3. For the formation energy, the calculation gives 0.73 eV/f.u.

The space group is F-43m (No. 216) and the conventional cell measures 7.123, 7.123 and 7.123 Å, with angles of 90.00, 90.00 and 90.00 degrees. The asymmetric unit holds Y at (0.000, 0.000, 0.000), Y at (0.250, 0.250, 0.250), Tl at (0.250, 0.250, 0.750) and Tc at (0.000, 0.000, 0.500).

---

Record 2
The following is a PBE calculation of an optimized crystal structure of Ho12Ni6N, from the Alexandria database.

For the calculated density, the calculation gives 8.69 g/cm3. As for the formation energy without anion corrections: -355.2 meV per atom.

The space group is R-3 (No. 148, hexagonal axes) and the conventional cell measures 11.5722, 11.5722 and 11.5961 Å, with angles of 90.00, 90.00 and 120.00 degrees. The asymmetric unit holds Ho at (0.0214, 0.2062, 0.3902), Ho at (0.0339, 0.1895, 0.8826), Ni at (0.0473, 0.2741, 0.6521) and N at (0.0000, 0.0000, 0.0000).

---

Record 3
The following is a PBE calculation of an optimized crystal structure of MnNbRu5, from the Alexandria database.

For the calculated density, the calculation gives 10.31 g/cm3. For the formation energy, the calculation gives 1.58 eV/f.u.

The space group is P4/mmm (No. 123) and the conventional cell measures 4.098, 4.098 and 6.268 Å, with angles of 90.00, 90.00 and 90.00 degrees. The asymmetric unit holds Mn at (0.000, 0.000, 0.000), Nb at (0.500, 0.500, 0.500), Ru at (0.000, 0.000, 0.500) and Ru at (0.000, 0.500, 0.212).

---

Q: The highest calculated density belongs to which entry?
A: MnNbRu5